The following is a PBE with a Hubbard U calculation of a relaxed FePtF3 crystal, from Alexandria via LeMat-Bulk.

Output
ρ: 7.7 Mg/m³
excess energy over the best structure of this formula in the dataset: 0 meV/atom
space group: Pm-3m (221)

Cell lengths 4.052, 4.052, 4.052 Å; angles 90.00, 90.00, 90.00 degrees
Positions (direct):
Fe1 0.000 0.000 0.000
Pt1 0.500 0.500 0.500
F1 0.000 0.000 0.500
F2 0.000 0.500 0.000
F3 0.500 0.000 0.000